# MgBiS3 GGA-PBE relaxed
# M_tot = 0.00 μB per cell
# uncorrected energy = -16.658 eV per cell
# E above lowest polymorph = 0.763 eV/atom
data_MgBiS3
_chemical_formula_sum 'Mg1 Bi1 S3'
_cell_length_a 5.168
_cell_length_b 5.168
_cell_length_c 5.168
_cell_angle_alpha 90.00
_cell_angle_beta 90.00
_cell_angle_gamma 90.00
_symmetry_space_group_name_H-M 'P 1'
_symmetry_Int_Tables_number 1
loop_
_symmetry_equiv_pos_as_xyz
'x,y,z'
loop_
_atom_site_label
_atom_site_type_symbol
_atom_site_fract_x
_atom_site_fract_y
_atom_site_fract_z
Bi1 Bi 0.000 0.000 0.000
S1 S 0.500 0.000 0.000
S2 S 0.000 0.000 0.500
S3 S 0.000 0.500 0.000
Mg1 Mg 0.500 0.500 0.500